Record 1
Here is crystalline Pr2SnHg8 at its relaxed geometry from Alexandria. Energies are from PBE.

Calculated values
The value obtained for the total DFT energy (no corrections) is -1.731 eV/atom.

Cell: 4.849 4.849 12.617 Å, 90.00 90.00 90.00°
Positions (direct):
Hg1 0.000 0.500 0.857
Hg2 0.500 0.500 0.678
Hg3 0.000 0.500 0.500
Hg4 0.500 0.000 0.143
Hg5 0.000 0.500 0.143
Sn1 0.000 0.000 0.000
Hg6 0.500 0.000 0.500
Hg7 0.500 0.500 0.322
Pr1 0.000 0.000 0.686
Pr2 0.000 0.000 0.314
Hg8 0.500 0.000 0.857



Record 2
Here is crystalline TcSb2As at its relaxed geometry from Alexandria. Energies are from PBE.

Calculated values
The value obtained for the total DFT energy (no corrections) is -5.478 eV/atom. The formation energy without anion corrections is 337.0 meV per atom.

Cell: 3.134 3.134 9.969 Å, 90.00 90.00 115.97°
Positions (direct):
As1 0.500 0.500 0.696
Sb1 0.000 0.000 0.993
Tc1 0.000 0.000 0.519
Sb2 0.500 0.500 0.291



Record 3
Here is crystalline LiTh2Cl8 at its relaxed geometry from Alexandria. Energies are from PBE.

Calculated values
The value obtained for the total DFT energy (no corrections) is -4.789 eV/atom. The formation energy without anion corrections is -1923.2 meV per atom.

Cell: 5.631 7.337 7.337 Å, 107.45 98.21 98.21°
Site moments in Bohr magnetons follow the coordinates.
Positions (direct):
Cl1 0.000 0.221 0.779  0.00
Cl2 0.395 0.930 0.665  -0.01
Th1 0.500 0.680 0.320  0.42
Cl3 0.814 0.632 0.632  0.00
Cl4 0.605 0.070 0.335  -0.01
Th2 0.500 0.320 0.680  0.42
Cl5 0.186 0.368 0.368  0.00
Cl6 0.000 0.779 0.221  0.00
Li1 0.000 0.000 0.000  0.00
Cl7 0.395 0.665 0.930  -0.01
Cl8 0.605 0.335 0.070  -0.01



Record 4
Here is crystalline Cs4Cd3PbBr12 at its relaxed geometry from Alexandria. Energies are from PBE.

Calculated values
The value obtained for the total DFT energy (no corrections) is -2.746 eV/atom. The formation energy without anion corrections is -1248.8 meV per atom.

Cell: 9.880 9.880 9.880 Å, 109.47 109.47 109.47°
Positions (direct):
Cs1 0.000 0.000 0.500
Br1 0.250 0.750 0.500
Br2 0.000 0.260 0.260
Cd1 0.500 0.000 0.500
Br3 0.740 0.740 0.000
Br4 0.260 0.260 0.000
Br5 0.500 0.750 0.250
Cd2 0.500 0.500 0.000
Br6 0.500 0.250 0.750
Cs2 0.000 0.500 0.000
Br7 0.740 0.000 0.740
Cs3 0.500 0.500 0.500
Br8 0.750 0.500 0.250
Cd3 0.000 0.500 0.500
Br9 0.750 0.250 0.500
Cs4 0.500 0.000 0.000
Pb1 0.000 0.000 0.000
Br10 0.260 0.000 0.260
Br11 0.250 0.500 0.750
Br12 0.000 0.740 0.740



Record 5
Here is crystalline Ho6Bi2Ru at its relaxed geometry from Alexandria. Energies are from PBE.

Calculated values
The value obtained for the total DFT energy (no corrections) is -5.132 eV/atom.

Cell: 6.819 6.819 13.773 Å, 90.00 90.00 90.00°
Positions (direct):
Bi1 0.500 0.500 0.830
Ru1 0.000 0.000 0.000
Ho1 0.222 0.778 0.500
Ho2 0.778 0.222 0.500
Bi2 0.500 0.500 0.170
Ho3 0.722 0.722 0.000
Bi3 0.000 0.000 0.330
Ru2 0.500 0.500 0.500
Ho4 0.278 0.278 0.000
Ho5 0.185 0.815 0.143
Ho6 0.315 0.315 0.643
Ho7 0.815 0.185 0.857
Ho8 0.185 0.815 0.857
Ho9 0.815 0.185 0.143
Bi4 0.000 0.000 0.670
Ho10 0.685 0.685 0.643
Ho11 0.315 0.315 0.357
Ho12 0.685 0.685 0.357



Record 6
Here is crystalline Ce4ScPb3 at its relaxed geometry from Alexandria. Energies are from PBE.

Calculated values
The value obtained for the total DFT energy (no corrections) is -5.564 eV/atom.

Cell: 6.257 9.142 9.142 Å, 83.28 69.99 69.99°
Site moments in Bohr magnetons follow the coordinates.
Positions (direct):
Ce1 0.098 0.138 0.665  0.85
Pb1 0.150 0.500 0.201  -0.03
Ce2 0.263 0.138 0.335  0.85
Pb2 0.850 0.500 0.799  -0.03
Ce3 0.598 0.665 0.138  0.85
Pb3 0.250 0.000 0.000  -0.02
Pb4 0.350 0.799 0.500  -0.03
Pb5 0.750 0.000 0.000  -0.02
Pb6 0.650 0.201 0.500  -0.03
Ce4 0.237 0.665 0.862  0.85
Ce5 0.902 0.862 0.335  0.85
Sc1 0.750 0.500 0.500  0.06
Ce6 0.402 0.335 0.862  0.85
Sc2 0.250 0.500 0.500  0.06
Ce7 0.737 0.862 0.665  0.85
Ce8 0.763 0.335 0.138  0.85



Record 7
Here is crystalline AlSe2BrCl at its relaxed geometry from Alexandria. Energies are from PBE.

Calculated values
The value obtained for the total DFT energy (no corrections) is -2.779 eV/atom. The formation energy without anion corrections is 67.6 meV per atom.

Cell: 4.975 4.975 4.951 Å, 90.00 90.00 90.00°
Site moments in Bohr magnetons follow the coordinates.
Positions (direct):
Se1 0.000 0.500 0.000  0.08
Br1 0.000 0.000 0.500  0.02
Al1 0.000 0.000 0.000  0.00
Cl1 0.500 0.500 0.500  0.06
Se2 0.500 0.000 0.000  0.08



Record 8
Here is crystalline NaZr2Sn2 at its relaxed geometry from Alexandria. Energies are from PBE.

Calculated values
The value obtained for the total DFT energy (no corrections) is -5.556 eV/atom.

Cell: 8.788 8.788 3.239 Å, 90.00 90.00 90.00°
Site moments in Bohr magnetons follow the coordinates.
Positions (direct):
Zr1 0.875 0.375 0.500  0.25
Na1 0.000 0.000 0.000  0.00
Zr2 0.125 0.625 0.500  0.25
Sn1 0.331 0.831 0.000  -0.01
Zr3 0.375 0.125 0.500  0.24
Sn2 0.169 0.331 0.000  -0.01
Zr4 0.625 0.875 0.500  0.24
Na2 0.500 0.500 0.000  0.00
Sn3 0.831 0.669 0.000  -0.01
Sn4 0.669 0.169 0.000  -0.01